Crystalline Eu2BeO at its relaxed geometry. Source: Alexandria, functional PBE.

The structure in CIF format:
```
data_Eu2BeO
_chemical_formula_sum 'Eu6 Be3 O3'
_cell_length_a 3.5728
_cell_length_b 3.5728
_cell_length_c 26.4579
_cell_angle_alpha 90.00
_cell_angle_beta 90.00
_cell_angle_gamma 120.00
_symmetry_space_group_name_H-M 'R -3 m'
_symmetry_Int_Tables_number 166
_symmetry_space_group_name_Hall '-R 3 2"'
loop_
_atom_site_label
_atom_site_fract_x
_atom_site_fract_y
_atom_site_fract_z
_atom_site_occupancy
Eu1 0.0000 0.0000 0.1131 1
Be1 0.0000 0.0000 0.0000 1
O1 0.0000 0.0000 0.5000 1
```

Crystalline Eu3BeO5 at its relaxed geometry. Source: Alexandria, functional PBE.

The structure in CIF format:
```
data_Eu3BeO5
_chemical_formula_sum 'Eu12 Be4 O20'
_cell_length_a 9.534
_cell_length_b 7.198
_cell_length_c 6.571
_cell_angle_alpha 90.00
_cell_angle_beta 90.00
_cell_angle_gamma 90.00
_symmetry_space_group_name_H-M 'P n m a'
_symmetry_Int_Tables_number 62
loop_
_symmetry_equiv_pos_as_xyz
'x,y,z'
'-x,-y,-z'
'-x+1/2,-y,z+1/2'
'x+1/2,y,-z+1/2'
'x+1/2,-y+1/2,-z+1/2'
'-x+1/2,y+1/2,z+1/2'
'-x,y+1/2,-z'
'x,-y+1/2,z'
loop_
_atom_site_label
_atom_site_fract_x
_atom_site_fract_y
_atom_site_fract_z
_atom_site_occupancy
Eu1 0.021 0.250 0.090 1
Eu2 0.174 0.021 0.580 1
Be1 0.102 0.750 0.306 1
O1 0.010 0.750 0.518 1
O2 0.072 0.556 0.192 1
O3 0.222 0.750 0.836 1
O4 0.225 0.250 0.863 1
```

Crystalline Sr2EuBeO5 at its relaxed geometry. Source: Alexandria, functional PBE.

The structure in CIF format:
```
data_Sr2EuBeO5
_chemical_formula_sum 'Sr8 Eu4 Be4 O20'
_cell_length_a 9.698
_cell_length_b 7.327
_cell_length_c 6.706
_cell_angle_alpha 90.00
_cell_angle_beta 90.00
_cell_angle_gamma 90.00
_symmetry_space_group_name_H-M 'P n m a'
_symmetry_Int_Tables_number 62
loop_
_symmetry_equiv_pos_as_xyz
'x,y,z'
'-x,-y,-z'
'-x+1/2,-y,z+1/2'
'x+1/2,y,-z+1/2'
'x+1/2,-y+1/2,-z+1/2'
'-x+1/2,y+1/2,z+1/2'
'-x,y+1/2,-z'
'x,-y+1/2,z'
loop_
_atom_site_label
_atom_site_fract_x
_atom_site_fract_y
_atom_site_fract_z
_atom_site_occupancy
Sr1 0.173 0.022 0.094 1
Eu1 0.022 0.250 0.579 1
Be1 0.101 0.750 0.817 1
O1 0.009 0.750 0.023 1
O2 0.065 0.563 0.690 1
O3 0.206 0.750 0.346 1
O4 0.229 0.250 0.382 1
```

| no. | ΔE_f (raw) (meV per atom) | size of the total moment (μB per formula unit) | total DFT energy (no corrections) (eV/atom) |
| --- | --- | --- | --- |
| 1 | -644 | 15.19 | -7.952 |
| 2 | -2831 | 19.00 | -9.424 |
| 3 | -2568 | 4.99 | -7.252 |